No. 1
Entry from Alexandria: crystalline Pr3Tl2Pb at its relaxed geometry (PBE-GGA).

Output
ΔE to the lowest computed polymorph = 0.0 kJ/mol of atoms

Lattice parameters (Å, degrees): 4.453 5.237 15.690 90.00 90.00 90.00
Fractional positions:
1 Pr 0.500 0.500 0.666
2 Pr 0.501 0.000 0.500
3 Pr 0.500 0.500 0.334
4 Pr 0.500 0.000 0.166
5 Pr 0.499 0.500 0.000
6 Pr 0.500 0.000 0.834
7 Tl 0.000 0.000 0.670
8 Tl 0.000 0.000 0.330
9 Tl 0.000 0.500 0.170
10 Tl 0.000 0.500 0.830
11 Pb 0.001 0.500 0.500
12 Pb 0.999 0.000 0.000

***

No. 2
Entry from Alexandria: crystalline Pr6Tl2Pb at its relaxed geometry (PBE-GGA).

Output
ΔE to the lowest computed polymorph = 0.0 kJ/mol of atoms

Lattice parameters (Å, degrees): 4.421 8.824 8.824 120.00 90.00 90.00
Fractional positions:
1 Pr 0.000 0.723 0.000
2 Pr 0.500 0.603 0.603
3 Pr 0.500 0.000 0.397
4 Pr 0.000 0.000 0.723
5 Pr 0.000 0.277 0.277
6 Pr 0.500 0.397 0.000
7 Tl 0.000 0.333 0.667
8 Tl 0.000 0.667 0.333
9 Pb 0.500 0.000 0.000

***

No. 3
Entry from Alexandria: crystalline Pr6Tl4Pb7 at its relaxed geometry (PBE-GGA).

Lattice parameters (Å, degrees): 8.969 8.969 8.969 109.47 109.47 109.47
Fractional positions:
1 Pr 0.705 0.000 0.705
2 Pr 0.705 0.705 0.000
3 Pr 0.000 0.295 0.295
4 Pr 0.295 0.000 0.295
5 Pr 0.295 0.295 0.000
6 Pr 0.000 0.705 0.705
7 Tl 0.500 0.000 0.000
8 Tl 0.500 0.500 0.500
9 Tl 0.000 0.500 0.000
10 Tl 0.000 0.000 0.500
11 Pb 0.750 0.500 0.250
12 Pb 0.250 0.750 0.500
13 Pb 0.500 0.750 0.250
14 Pb 0.750 0.250 0.500
15 Pb 0.250 0.500 0.750
16 Pb 0.500 0.250 0.750
17 Pb 0.000 0.000 0.000

***

No. 4
Entry from Alexandria: crystalline Pr12TlPb3 at its relaxed geometry (PBE-GGA).

Lattice parameters (Å, degrees): 5.039 5.039 20.111 90.00 90.00 90.00
Fractional positions:
1 Pr 0.500 0.500 0.000
2 Pr 0.500 0.500 0.251
3 Pr 0.500 0.500 0.500
4 Pr 0.500 0.500 0.749
5 Pr 0.500 0.000 0.125
6 Pr 0.500 0.000 0.375
7 Pr 0.500 0.000 0.625
8 Pr 0.500 0.000 0.875
9 Pr 0.000 0.500 0.125
10 Pr 0.000 0.500 0.375
11 Pr 0.000 0.500 0.625
12 Pr 0.000 0.500 0.875
13 Tl 0.000 0.000 0.000
14 Pb 0.000 0.000 0.249
15 Pb 0.000 0.000 0.500
16 Pb 0.000 0.000 0.751

***

No. 5
Entry from Alexandria: crystalline Pr10Tl3Pb3 at its relaxed geometry (PBE-GGA).

Lattice parameters (Å, degrees): 7.021 9.416 9.416 120.00 90.00 90.00
Fractional positions:
1 Pr 0.248 0.667 0.333
2 Pr 0.248 0.333 0.667
3 Pr 0.752 0.333 0.667
4 Pr 0.752 0.667 0.333
5 Pr 0.500 0.000 0.760
6 Pr 0.500 0.760 0.000
7 Pr 0.500 0.240 0.240
8 Pr 0.000 0.000 0.236
9 Pr 0.000 0.236 0.000
10 Pr 0.000 0.764 0.764
11 Tl 0.000 0.000 0.599
12 Tl 0.000 0.599 0.000
13 Tl 0.000 0.401 0.401
14 Pb 0.500 0.000 0.396
15 Pb 0.500 0.396 0.000
16 Pb 0.500 0.604 0.604

***

No. 6
Entry from Alexandria: crystalline PrTlPb6 at its relaxed geometry (PBE-GGA).

Lattice parameters (Å, degrees): 5.020 7.002 7.002 89.97 90.00 90.00
Fractional positions:
1 Pr 0.500 0.000 0.000
2 Tl 0.500 0.500 0.500
3 Pb 0.000 0.746 0.254
4 Pb 0.000 0.254 0.746
5 Pb 0.000 0.746 0.746
6 Pb 0.000 0.254 0.254
7 Pb 0.500 0.500 0.000
8 Pb 0.500 0.000 0.500

***

| no. | formation energy (eV/f.u.) |
| --- | --- |
| 1 | -2.6 |
| 2 | -2.8 |
| 3 | -3.0 |
| 4 | -5.0 |
| 5 | -6.5 |
| 6 | -1.2 |